First-principles (PBE) data for a relaxed structure of SiPtSe2, as listed in the Alexandria database.

## Properties
formation energy from raw total energies	0.04	eV/atom
density	6.8	g cm⁻³

Cell lengths 5.707, 5.707, 11.365 Å; angles 90.00, 90.00, 90.00 degrees
Element x y z (fractional)
Si 0.000 0.000 0.000
Si 0.000 0.500 0.250
Si 0.500 0.000 0.750
Si 0.500 0.500 0.500
Pt 0.000 0.000 0.500
Pt 0.000 0.500 0.750
Pt 0.500 0.000 0.250
Pt 0.500 0.500 0.000
Se 0.244 0.250 0.125
Se 0.250 0.744 0.375
Se 0.250 0.756 0.875
Se 0.256 0.250 0.625
Se 0.744 0.750 0.625
Se 0.750 0.244 0.875
Se 0.750 0.256 0.375
Se 0.756 0.750 0.125